{"formula": "Tb3Pr3Th2", "functional": "PBE", "state": "optimized geometry", "lattice": [[5.993, 0.970, 1.525], [0.891, 6.075, 1.322], [1.880, 2.250, 8.390]], "species": ["Tb", "Tb", "Tb", "Th", "Pr", "Pr", "Pr", "Th"], "frac_coords": [[0.628, 0.128, 0.744], [0.372, 0.872, 0.256], [0.500, 0.500, 0.000], [0.748, 0.747, 0.505], [0.000, 0.000, 0.000], [0.131, 0.632, 0.737], [0.869, 0.368, 0.263], [0.252, 0.253, 0.495]], "n_ef_per_ev_fu": 11.95, "relative_energy_mev_per_atom": 11, "ef_mev_per_atom": 47}